Material: Zr3FeRh
Method: DFT, GGA-PBE
State: optimized geometry

Cell: 3.4202 5.9420 9.7229 Å, 99.82 100.13 90.00°
With the nearest neighbours (Å) after each atom.
Fractional positions:
Zr1 0.3650 0.9204 0.7299  2 Fe 2.52
Zr2 0.0028 0.7633 0.0055  4 Rh 2.74-2.77, 1 Zr 2.83
Fe1 0.2333 0.1218 0.4667  2 Fe 2.40, 4 Zr 2.52-2.67
Fe2 0.7667 0.8782 0.5333  2 Fe 2.40, 4 Zr 2.52-2.67
Zr3 0.9972 0.2367 0.9945  4 Rh 2.74-2.77, 1 Zr 2.83
Zr4 0.8120 0.4034 0.6239  2 Fe 2.67, 2 Rh 2.67
Zr5 0.1880 0.5966 0.3761  2 Fe 2.67, 2 Rh 2.67
Zr6 0.6350 0.0796 0.2701  2 Fe 2.52
Rh1 0.5793 0.5400 0.1587  6 Zr 2.67-2.77
Rh2 0.4207 0.4600 0.8413  6 Zr 2.67-2.77

## Properties
For the calculated formation energy, the calculation gives -0.312 eV per atom. Its space-group type is No. 12.